(1)
# PmSmAs

A geometry-optimized PmSmAs structure (PBE, Alexandria).

energy relative to the elements: -0.714 eV per atom
crystal system: tetragonal

Lattice parameters (Å, degrees): 3.8070 3.8070 6.3331 107.49 107.49 90.00
Last column: nearest neighbours and their distance in Å.
Atoms (fractional coordinates):
As1 0.2816 0.2816 0.5632  4 Sm 3.12, 4 Pm 3.15
Sm1 0.6443 0.6443 0.2887  4 As 3.12, 1 Pm 3.21
Pm1 0.9241 0.9241 0.8481  4 As 3.15, 1 Sm 3.21

***

(2)
# Pm3SmAs4

A geometry-optimized Pm3SmAs4 structure (PBE, Alexandria).

energy relative to the elements: -1.531 eV per atom
crystal system: cubic

Lattice parameters (Å, degrees): 5.9831 5.9831 5.9831 90.00 90.00 90.00
Last column: nearest neighbours and their distance in Å.
Atoms (fractional coordinates):
As1 0.5000 0.0000 0.0000  4 Pm 2.99, 2 Sm 2.99
As2 0.0000 0.5000 0.0000  4 Pm 2.99, 2 Sm 2.99
As3 0.0000 0.0000 0.5000  4 Pm 2.99, 2 Sm 2.99
As4 0.5000 0.5000 0.5000  6 Pm 2.99
Sm1 0.0000 0.0000 0.0000  6 As 2.99
Pm1 0.0000 0.5000 0.5000  6 As 2.99
Pm2 0.5000 0.0000 0.5000  6 As 2.99
Pm3 0.5000 0.5000 0.0000  6 As 2.99

***

(3)
# PmSm3As4

A geometry-optimized PmSm3As4 structure (PBE, Alexandria).

energy relative to the elements: -1.532 eV per atom
crystal system: cubic

Lattice parameters (Å, degrees): 5.9661 5.9661 5.9661 90.00 90.00 90.00
Last column: nearest neighbours and their distance in Å.
Atoms (fractional coordinates):
As1 0.5000 0.0000 0.0000  2 Pm 2.98, 4 Sm 2.98
As2 0.0000 0.5000 0.0000  2 Pm 2.98, 4 Sm 2.98
As3 0.0000 0.0000 0.5000  2 Pm 2.98, 4 Sm 2.98
As4 0.5000 0.5000 0.5000  6 Sm 2.98
Sm1 0.0000 0.5000 0.5000  6 As 2.98
Sm2 0.5000 0.0000 0.5000  6 As 2.98
Sm3 0.5000 0.5000 0.0000  6 As 2.98
Pm1 0.0000 0.0000 0.0000  6 As 2.98

***

The calculated total energy results, record by record, are as follows: -5.42 -6.23 -6.22 eV per atom.